1.
Here is a relaxed TeHPtI2 crystal from the Alexandria database. Energies are from GGA-PBE.

Unit cell a=5.7008 b=5.7008 c=5.1408 alpha=90.00 beta=90.00 gamma=90.00
Element x y z (fractional)
Te  0.0000  0.0000  0.0000
H  0.5000  0.5000  0.0000
Pt  0.0000  0.0000  0.5000
I  0.0000  0.5000  0.5000
I  0.5000  0.0000  0.5000

Output
symmetry = No. 123
relative energy among the computed polymorphs = 0.000 eV/atom
magnetic moment = 1.49 μB per formula unit
volume = 167.1 Å³ per cell

2.
Here is a relaxed TeHPtI2 crystal from the Alexandria database. Energies are from GGA-PBE.

Unit cell a=6.1410 b=6.1410 c=4.9540 alpha=90.00 beta=90.00 gamma=90.00
Element x y z (fractional)
Te  0.0000  0.0000  0.0000
H  0.5000  0.5000  0.5000
Pt  0.0000  0.0000  0.5000
I  0.0000  0.5000  0.0000
I  0.5000  0.0000  0.0000

Output
symmetry = No. 123
relative energy among the computed polymorphs = 0.148 eV/atom
magnetic moment = 0.97 μB per formula unit
volume = 186.8 Å³ per cell

3.
Here is a relaxed PuH2I8 crystal from the Alexandria database. Energies are from GGA-PBE.

Unit cell a=8.7316 b=8.7316 c=6.6710 alpha=90.28 beta=90.28 gamma=75.09
Element x y z (fractional)
Pu  0.0000  0.0000  0.0000
H  0.2723  0.2723  0.2364
H  0.7277  0.7277  0.7636
I  0.1043  0.7194  0.7479
I  0.1698  0.1698  0.7443
I  0.2806  0.8957  0.2521
I  0.3900  0.3900  0.2585
I  0.6100  0.6100  0.7415
I  0.7194  0.1043  0.7479
I  0.8302  0.8302  0.2557
I  0.8957  0.2806  0.2521

Output
symmetry = No. 12
DFT total energy = -3.33 eV per atom
magnetic moment = 1.93 μB per formula unit
volume = 491.5 Å³ per cell

4.
Here is a relaxed Pu2H2SeI crystal from the Alexandria database. Energies are from GGA-PBE.

Unit cell a=3.9613 b=3.9613 c=8.5700 alpha=90.00 beta=90.00 gamma=120.00
Element x y z (fractional)
Pu  0.3333  0.6667  0.2160
Pu  0.6667  0.3333  0.7840
H  0.3333  0.6667  0.7596
H  0.6667  0.3333  0.2404
Se  0.0000  0.0000  0.0000
I  0.0000  0.0000  0.5000

Output
symmetry = No. 164
DFT total energy = -7.65 eV per atom
magnetic moment = 11.00 μB per formula unit
volume = 116.5 Å³ per cell

5.
Here is a relaxed RbHI3 crystal from the Alexandria database. Energies are from GGA-PBE.

Unit cell a=5.5009 b=5.5009 c=5.5009 alpha=90.00 beta=90.00 gamma=90.00
Element x y z (fractional)
Rb  0.0000  0.0000  0.0000
H  0.5000  0.5000  0.5000
I  0.0000  0.5000  0.5000
I  0.5000  0.0000  0.5000
I  0.5000  0.5000  0.0000

Output
symmetry = No. 221
relative energy among the computed polymorphs = 0.535 eV/atom
magnetic moment = 0.97 μB per formula unit
volume = 166.5 Å³ per cell

6.
Here is a relaxed RbHI crystal from the Alexandria database. Energies are from GGA-PBE.

Unit cell a=6.9117 b=6.9117 c=8.9166 alpha=130.16 beta=130.16 gamma=43.78
Element x y z (fractional)
Rb  0.0000  0.0000  0.0000
Rb  0.5005  0.5005  0.5149
H  0.4562  0.4562  0.1319
H  0.5383  0.5383  0.2134
I  0.2485  0.2485  0.5892
I  0.7514  0.7514  0.0931

Output
symmetry = No. 8
relative energy among the computed polymorphs = 0.005 eV/atom
magnetic moment = 0.00 μB per formula unit
volume = 211.9 Å³ per cell

7.
Here is a relaxed RbHI3 crystal from the Alexandria database. Energies are from GGA-PBE.

Unit cell a=6.8614 b=8.3289 c=10.2050 alpha=106.08 beta=91.49 gamma=112.33
Element x y z (fractional)
Rb  0.1497  0.3068  0.3150
Rb  0.8503  0.6932  0.6850
H  0.1237  0.3365  0.8266
H  0.8763  0.6635  0.1734
I  0.0032  0.8119  0.0844
I  0.2708  0.5187  0.6975
I  0.4256  0.8561  0.5602
I  0.5744  0.1439  0.4398
I  0.7292  0.4813  0.3025
I  0.9968  0.1881  0.9156

Output
symmetry = No. 2
relative energy among the computed polymorphs = 0.000 eV/atom
magnetic moment = 0.00 μB per formula unit
volume = 512.7 Å³ per cell

8.
Here is a relaxed RbH2I2 crystal from the Alexandria database. Energies are from GGA-PBE.

Unit cell a=8.2672 b=8.2672 c=10.3677 alpha=104.95 beta=104.95 gamma=29.08
Element x y z (fractional)
Rb  0.1928  0.8072  0.7500
Rb  0.8072  0.1928  0.2500
H  0.0647  0.6624  0.9040
H  0.3376  0.9353  0.5960
H  0.6624  0.0647  0.4040
H  0.9353  0.3376  0.0960
I  0.1620  0.5613  0.4036
I  0.4387  0.8380  0.0964
I  0.5613  0.1620  0.9036
I  0.8380  0.4387  0.5964

Output
symmetry = No. 15
relative energy among the computed polymorphs = 0.292 eV/atom
magnetic moment = 0.46 μB per formula unit
volume = 332.0 Å³ per cell